No. 1
A plane-wave DFT calculation with PBE was carried out for InTeBr after structural relaxation.

Summary:
ΔE_f (raw) ... -164 kJ/mol of formula units

abc: 8.0043 7.7216 8.5200
angles: 90.00 117.07 90.00
Space group P2_1/c (No. 14)
One atom of each set of equivalent atoms:
In (0.0321, 0.2007, 0.3891) [4 per cell]
Te (0.1975, 0.6359, 0.9360) [4 per cell]
Br (0.3082, 0.1032, 0.0816) [4 per cell]

No. 2
A plane-wave DFT calculation with PBE was carried out for Pr3Te12Au5 after structural relaxation.

Summary:
ΔE_f (raw) ... -889 kJ/mol of formula units

abc: 17.4120 17.4120 17.4120
angles: 90.00 90.00 90.00
Space group Ia-3d (No. 230)
One atom of each set of equivalent atoms:
Pr (0.0000, 0.2500, 0.1250) [24 per cell]
Te (0.0216, 0.0603, 0.6491) [96 per cell]
Au (0.0000, 0.0000, 0.0000) [16 per cell]
Au (0.0000, 0.2500, 0.3750) [24 per cell]

No. 3
A plane-wave DFT calculation with PBE was carried out for LiHI2 after structural relaxation.

Summary:
Relative energy among the computed polymorphs ... 3 meV/atom

abc: 4.4901 4.4901 20.7607
angles: 90.00 90.00 120.00
Space group R-3m (No. 166, hexagonal axes)
One atom of each set of equivalent atoms:
Li (0.0000, 0.0000, 0.0000) [3 per cell]
H (0.0000, 0.0000, 0.5000) [3 per cell]
I (0.0000, 0.0000, 0.4076) [6 per cell]

Ordered total magnetic moment results: 0.0 0.0 0.0; unit μB per cell.
Ordered DOS at the Fermi energy results: 0.00 0.69 0.00; unit states/eV/atom.